Entry 1:
VASP calculation (PBE) on Sr3Mg4Zn4 after structural relaxation.

Geometry as POSCAR:
```
Sr3Mg4Zn4
1.0
-2.272 4.081 7.877
2.272 -4.081 7.877
2.272 4.081 -7.877
Sr Mg Zn
3 4 4
Cartesian
0.000 0.000 0.000
2.272 0.000 5.940
0.000 4.081 1.937
2.272 1.546 -2.752
2.272 1.546 2.752
0.000 2.535 5.125
0.000 2.535 10.629
0.000 0.000 3.504
2.272 2.629 0.000
0.000 1.452 7.877
0.000 0.000 12.250
```

Offset from the most stable computed form = 0.00 kcal/mol of atoms

Entry 2:
VASP calculation (PBE) on ZnFeAu3 after structural relaxation.

Geometry as POSCAR:
```
ZnFeAu3
1.0
4.852 0.000 0.000
0.000 4.852 0.000
0.000 0.000 4.852
Zn Fe Au
1 1 3
Cartesian
0.000 0.000 0.000
2.426 2.426 2.426
0.000 2.426 2.426
2.426 0.000 2.426
2.426 2.426 0.000
```

Offset from the most stable computed form = 0.00 kcal/mol of atoms

Entry 3:
VASP calculation (PBE) on TiZnCuP3O12 after structural relaxation.

Geometry as POSCAR:
```
TiZnCuP3O12
1.0
4.300 2.482 6.908
-4.300 2.482 6.908
0.000 -4.965 6.908
Ti Zn Cu P O
2 2 2 6 24
Cartesian
0.000 0.000 0.000
0.000 0.000 10.361
0.000 0.000 7.329
0.000 0.000 17.690
0.000 0.000 4.413
0.000 0.000 14.774
-1.262 -2.780 9.132
-2.524 0.001 12.586
-1.776 2.483 9.132
1.261 -2.186 12.586
3.039 0.297 9.132
1.262 2.185 12.586
-0.814 -3.572 7.872
-1.492 -0.204 5.817
-3.465 -1.236 12.397
-0.768 -3.420 10.414
-2.687 2.491 7.873
-0.662 -1.346 8.943
0.923 -1.190 5.817
-1.613 0.008 11.326
-2.578 2.375 10.414
-0.834 1.246 8.943
0.569 1.394 5.817
-1.722 -0.107 13.868
0.799 -1.401 11.326
-0.923 -1.190 16.178
1.497 0.099 8.943
0.954 -1.438 13.868
0.814 1.393 11.326
2.803 -2.383 12.397
-0.569 1.394 16.178
3.501 1.081 7.872
0.768 1.545 13.868
0.662 3.619 12.397
1.492 -0.204 16.178
3.346 1.045 10.414
```

Formation energy from raw total energies = -1.976 eV/atom

Entry 4:
VASP calculation (PBE) on CoBCl2 after structural relaxation.

Geometry as POSCAR:
```
CoBCl2
1.0
1.670 0.964 6.359
-1.670 0.964 6.359
0.000 -1.928 6.359
Co B Cl
1 1 2
Cartesian
0.000 0.000 0.000
0.000 0.000 9.539
0.000 0.000 7.772
0.000 0.000 11.306
```

Offset from the most stable computed form = 2.20 kcal/mol of atoms
Formation energy from raw total energies = 0.947 eV/atom

Entry 5:
VASP calculation (PBE) on VH2Rh2 after structural relaxation.

Geometry as POSCAR:
```
VH2Rh2
1.0
5.871 0.000 0.000
0.000 5.871 0.000
0.000 0.000 2.817
V H Rh
2 4 4
Cartesian
0.000 0.000 0.000
2.935 2.935 0.000
1.205 1.730 0.000
1.730 4.665 0.000
4.140 1.205 0.000
4.665 4.140 0.000
0.926 3.861 1.409
2.010 0.926 1.409
3.861 4.945 1.409
4.945 2.010 1.409
```

Offset from the most stable computed form = 1.99 kcal/mol of atoms

Entry 6:
VASP calculation (PBE) on Ac6ZnIr2I2 after structural relaxation.

Geometry as POSCAR:
```
Ac6ZnIr2I2
1.0
3.915 -6.700 0.000
3.915 6.700 0.000
-2.405 0.000 8.428
Ac Zn Ir I
6 1 2 2
Cartesian
0.100 2.349 6.819
1.143 0.000 1.589
0.100 -2.349 6.819
5.324 2.349 1.609
4.282 0.000 6.839
5.324 -2.349 1.609
3.915 0.000 0.000
3.915 4.438 0.000
3.915 -4.438 0.000
2.712 2.148 4.214
2.712 -2.148 4.214
```

Formation energy from raw total energies = -0.730 eV/atom